# TiSbTeI2

TiSbTeI2 after structural relaxation (PBE, Alexandria).

Values from the calculation:
Uncorrected formation energy ... 65 meV per atom

Geometry as CIF:
```
data_TiSbTeI2
_chemical_formula_sum 'Ti1 Sb1 Te1 I2'
_cell_length_a 5.472
_cell_length_b 5.472
_cell_length_c 5.605
_cell_angle_alpha 90.00
_cell_angle_beta 90.00
_cell_angle_gamma 90.00
_symmetry_space_group_name_H-M 'P 4/m m m'
_symmetry_Int_Tables_number 123
_symmetry_space_group_name_Hall '-P 4 2'
loop_
_atom_site_label
_atom_site_type_symbol
_atom_site_fract_x
_atom_site_fract_y
_atom_site_fract_z
_atom_site_occupancy
Ti1 Ti 0.000 0.000 0.000 1
Sb1 Sb 0.500 0.500 0.500 1
Te1 Te 0.000 0.000 0.500 1
I1 I 0.000 0.500 0.000 1
```

=====

# FeSb3I

FeSb3I after structural relaxation (PBE, Alexandria).

Values from the calculation:
Uncorrected formation energy ... 371 meV per atom

Geometry as CIF:
```
data_FeSb3I
_chemical_formula_sum 'Fe1 Sb3 I1'
_cell_length_a 5.059
_cell_length_b 5.059
_cell_length_c 5.059
_cell_angle_alpha 90.00
_cell_angle_beta 90.00
_cell_angle_gamma 90.00
_symmetry_space_group_name_H-M 'P m -3 m'
_symmetry_Int_Tables_number 221
_symmetry_space_group_name_Hall '-P 4 2 3'
loop_
_atom_site_label
_atom_site_type_symbol
_atom_site_fract_x
_atom_site_fract_y
_atom_site_fract_z
_atom_site_occupancy
Fe1 Fe 0.000 0.000 0.000 1
Sb1 Sb 0.000 0.000 0.500 1
I1 I 0.500 0.500 0.500 1
```

=====

# Sn2BH2

Sn2BH2 after structural relaxation (PBE, Alexandria).

Geometry as CIF:
```
data_Sn2BH2
_chemical_formula_sum 'Sn4 B2 H4'
_cell_length_a 4.639
_cell_length_b 4.639
_cell_length_c 6.468
_cell_angle_alpha 90.00
_cell_angle_beta 90.00
_cell_angle_gamma 90.00
_symmetry_space_group_name_H-M 'I 4/m m m'
_symmetry_Int_Tables_number 139
_symmetry_space_group_name_Hall '-I 4 2'
loop_
_atom_site_label
_atom_site_type_symbol
_atom_site_fract_x
_atom_site_fract_y
_atom_site_fract_z
_atom_site_occupancy
Sn1 Sn 0.000 0.500 0.250 1
B1 B 0.000 0.000 0.000 1
H1 H 0.000 0.000 0.439 1
```

=====

# ErSiO2

ErSiO2 after structural relaxation (PBE, Alexandria).

Values from the calculation:
Uncorrected formation energy ... -1282 meV per atom

Geometry as CIF:
```
data_ErSiO2
_chemical_formula_sum 'Er3 Si3 O6'
_cell_length_a 3.1566
_cell_length_b 3.1566
_cell_length_c 19.2474
_cell_angle_alpha 90.00
_cell_angle_beta 90.00
_cell_angle_gamma 120.00
_symmetry_space_group_name_H-M 'R -3 m'
_symmetry_Int_Tables_number 166
_symmetry_space_group_name_Hall '-R 3 2"'
loop_
_atom_site_label
_atom_site_type_symbol
_atom_site_fract_x
_atom_site_fract_y
_atom_site_fract_z
_atom_site_occupancy
Er1 Er 0.0000 0.0000 0.0000 1
Si1 Si 0.0000 0.0000 0.5000 1
O1 O 0.0000 0.0000 0.1200 1
```

=====

# MgTl2HgF6

MgTl2HgF6 after structural relaxation (PBE, Alexandria).

Values from the calculation:
Uncorrected formation energy ... -2207 meV per atom

Geometry as CIF:
```
data_MgTl2HgF6
_chemical_formula_sum 'Mg2 Tl4 Hg2 F12'
_cell_length_a 6.163
_cell_length_b 8.713
_cell_length_c 6.165
_cell_angle_alpha 90.00
_cell_angle_beta 90.00
_cell_angle_gamma 90.00
_symmetry_space_group_name_H-M 'P m m n'
_symmetry_Int_Tables_number 59
loop_
_symmetry_equiv_pos_as_xyz
'x,y,z'
'-x,-y,-z'
'-x+1/2,-y+1/2,z'
'x+1/2,y+1/2,-z'
'x+1/2,-y,-z'
'-x+1/2,y,z'
'-x,y+1/2,-z'
'x,-y+1/2,z'
loop_
_atom_site_label
_atom_site_type_symbol
_atom_site_fract_x
_atom_site_fract_y
_atom_site_fract_z
_atom_site_occupancy
Mg1 Mg 0.250 0.250 0.250 1
Tl1 Tl 0.250 0.000 0.749 1
Hg1 Hg 0.250 0.750 0.249 1
F1 F 0.018 0.250 0.018 1
F2 F 0.018 0.250 0.482 1
F3 F 0.250 0.018 0.251 1
```

=====

# NpZn4Ga2

NpZn4Ga2 after structural relaxation (PBE, Alexandria).

Values from the calculation:
Energy of formation from the pure elements ... -0.025 eV per atom

Geometry as CIF:
```
data_NpZn4Ga2
_chemical_formula_sum 'Np3 Zn12 Ga6'
_cell_length_a 4.3451
_cell_length_b 4.3451
_cell_length_c 23.2635
_cell_angle_alpha 90.00
_cell_angle_beta 90.00
_cell_angle_gamma 120.00
_symmetry_space_group_name_H-M 'R -3 m'
_symmetry_Int_Tables_number 166
_symmetry_space_group_name_Hall '-R 3 2"'
loop_
_atom_site_label
_atom_site_type_symbol
_atom_site_fract_x
_atom_site_fract_y
_atom_site_fract_z
_atom_site_occupancy
Np1 Np 0.0000 0.0000 0.0000 1
Zn1 Zn 0.0000 0.0000 0.1386 1
Zn2 Zn 0.0000 0.0000 0.4129 1
Ga1 Ga 0.0000 0.0000 0.2543 1
```

=====

# Rb2BiI

Rb2BiI after structural relaxation (PBE, Alexandria).

Values from the calculation:
Uncorrected formation energy ... -477 meV per atom

Geometry as CIF:
```
data_Rb2BiI
_chemical_formula_sum 'Rb8 Bi4 I4'
_cell_length_a 10.103
_cell_length_b 10.103
_cell_length_c 7.462
_cell_angle_alpha 90.00
_cell_angle_beta 90.00
_cell_angle_gamma 90.00
_symmetry_space_group_name_H-M 'I -4 2 d'
_symmetry_Int_Tables_number 122
_symmetry_space_group_name_Hall 'I -4 2bw'
loop_
_atom_site_label
_atom_site_type_symbol
_atom_site_fract_x
_atom_site_fract_y
_atom_site_fract_z
_atom_site_occupancy
Rb1 Rb 0.234 0.250 0.125 1
Bi1 Bi 0.000 0.000 0.500 1
I1 I 0.000 0.000 0.000 1
```

=====

# Li2BrF

Li2BrF after structural relaxation (PBE, Alexandria).

Values from the calculation:
Uncorrected formation energy ... -2209 meV per atom

Geometry as CIF:
```
data_Li2BrF
_chemical_formula_sum 'Li8 Br4 F4'
_cell_length_a 6.664
_cell_length_b 7.184
_cell_length_c 5.956
_cell_angle_alpha 90.00
_cell_angle_beta 108.84
_cell_angle_gamma 90.00
_symmetry_space_group_name_H-M 'P 1 21/c 1'
_symmetry_Int_Tables_number 14
loop_
_symmetry_equiv_pos_as_xyz
'x,y,z'
'-x,-y,-z'
'-x,y+1/2,-z+1/2'
'x,-y+1/2,z+1/2'
loop_
_atom_site_label
_atom_site_type_symbol
_atom_site_fract_x
_atom_site_fract_y
_atom_site_fract_z
_atom_site_occupancy
Li1 Li 0.159 0.111 0.008 1
Li2 Li 0.281 0.717 0.909 1
Br1 Br 0.332 0.082 0.683 1
F1 F 0.140 0.643 0.590 1
```

=====

# CaTl2GeCl

CaTl2GeCl after structural relaxation (PBE, Alexandria).

Values from the calculation:
Uncorrected formation energy ... -282 meV per atom

Geometry as CIF:
```
data_CaTl2GeCl
_chemical_formula_sum 'Ca1 Tl2 Ge1 Cl1'
_cell_length_a 5.422
_cell_length_b 5.422
_cell_length_c 5.937
_cell_angle_alpha 90.00
_cell_angle_beta 90.00
_cell_angle_gamma 90.00
_symmetry_space_group_name_H-M 'P 4/m m m'
_symmetry_Int_Tables_number 123
_symmetry_space_group_name_Hall '-P 4 2'
loop_
_atom_site_label
_atom_site_type_symbol
_atom_site_fract_x
_atom_site_fract_y
_atom_site_fract_z
_atom_site_occupancy
Ca1 Ca 0.000 0.000 0.000 1
Tl1 Tl 0.000 0.500 0.500 1
Ge1 Ge 0.000 0.000 0.500 1
Cl1 Cl 0.500 0.500 0.000 1
```

=====

# LiLa2AuO6

LiLa2AuO6 after structural relaxation (PBE, Alexandria).

Values from the calculation:
Uncorrected formation energy ... -2073 meV per atom

Geometry as CIF:
```
data_LiLa2AuO6
_chemical_formula_sum 'Li2 La4 Au2 O12'
_cell_length_a 5.610
_cell_length_b 5.849
_cell_length_c 9.709
_cell_angle_alpha 90.00
_cell_angle_beta 124.99
_cell_angle_gamma 90.00
_symmetry_space_group_name_H-M 'P 1 21/c 1'
_symmetry_Int_Tables_number 14
loop_
_symmetry_equiv_pos_as_xyz
'x,y,z'
'-x,-y,-z'
'-x,y+1/2,-z+1/2'
'x,-y+1/2,z+1/2'
loop_
_atom_site_label
_atom_site_type_symbol
_atom_site_fract_x
_atom_site_fract_y
_atom_site_fract_z
_atom_site_occupancy
Li1 Li 0.000 0.000 0.000 1
La1 La 0.235 0.060 0.749 1
Au1 Au 0.500 0.000 0.500 1
O1 O 0.159 0.196 0.453 1
O2 O 0.256 0.711 0.449 1
O3 O 0.346 0.030 0.253 1
```

=====

# KZn2Ge4

KZn2Ge4 after structural relaxation (PBE, Alexandria).

Values from the calculation:
Energy of formation from the pure elements ... 1.006 eV per atom

Geometry as CIF:
```
data_KZn2Ge4
_chemical_formula_sum 'K2 Zn4 Ge8'
_cell_length_a 5.494
_cell_length_b 5.494
_cell_length_c 13.566
_cell_angle_alpha 90.00
_cell_angle_beta 90.00
_cell_angle_gamma 90.00
_symmetry_space_group_name_H-M 'I 4/m m m'
_symmetry_Int_Tables_number 139
_symmetry_space_group_name_Hall '-I 4 2'
loop_
_atom_site_label
_atom_site_type_symbol
_atom_site_fract_x
_atom_site_fract_y
_atom_site_fract_z
_atom_site_occupancy
K1 K 0.000 0.000 0.000 1
Zn1 Zn 0.000 0.000 0.410 1
Ge1 Ge 0.000 0.000 0.231 1
Ge2 Ge 0.000 0.500 0.000 1
```

=====

Calculated total energy
In order: -3.587 -4.105 -3.587 -6.258 -3.993 -3.466 -2.319 -4.052 -2.921 -6.553 -2.154
Unit: eV per atom